The following is a GGA-PBE calculation of BaZr2Rh after structural relaxation, from Alexandria via LeMat-Bulk.

Cell and atoms, written as extended XYZ:
```
4
Lattice="0.000 3.540 3.540 3.540 0.000 3.540 3.540 3.540 0.000" Properties=species:S:1:pos:R:3 pbc="T T T"
Rh 0.000 0.000 0.000
Ba 3.540 3.540 3.540
Zr 1.770 1.770 1.770
Zr 5.310 5.310 5.310
```

calculated formation energy = 0.335 eV/atom
DOS(E_F) = 1.487 states/eV per atom
magnetic moment = 0.00 μB/f.u.

***

The following is a GGA-PBE calculation of PuAgIO6 after structural relaxation, from Alexandria via LeMat-Bulk.

Cell and atoms, written as extended XYZ:
```
18
Lattice="-2.971 4.722 -0.979 -2.193 -4.109 3.223 4.017 4.206 8.096" Properties=species:S:1:pos:R:3 pbc="T T T"
Pu -1.708 2.830 2.446
Pu 0.561 1.989 7.895
Ag 0.000 0.000 0.000
Ag 2.009 2.103 4.048
I -1.448 -0.114 3.847
I 0.301 4.933 6.494
O -2.702 0.975 2.567
O -0.243 -0.910 2.327
O 1.480 4.427 4.836
O -0.904 5.729 8.014
O -0.453 1.728 3.732
O 0.048 -1.089 4.946
O 1.564 6.599 6.338
O -2.627 0.391 5.505
O -1.195 5.907 5.394
O -2.711 -1.780 4.003
O -0.694 3.091 6.609
O 1.555 3.843 7.774
```

E_form (uncorrected) = -1104 meV/atom
DOS(E_F) = 0.693 states/eV per atom
magnetic moment = 2.00 μB/f.u.

***

The following is a GGA-PBE calculation of Y2ErCu6 after structural relaxation, from Alexandria via LeMat-Bulk.

Cell and atoms, written as extended XYZ:
```
9
Lattice="3.574 0.000 0.000 0.000 6.333 -3.656 0.000 0.000 7.313" Properties=species:S:1:pos:R:3 pbc="T T T"
Y 0.000 2.111 3.656
Y 3.574 4.222 0.000
Er 0.000 0.000 7.313
Cu 1.787 2.104 1.215
Cu 1.787 4.229 2.442
Cu 1.787 0.000 4.883
Cu 1.787 4.229 4.871
Cu 1.787 2.104 -1.215
Cu 1.787 0.000 2.430
```

calculated formation energy = -0.256 eV/atom
DOS(E_F) = 0.573 states/eV per atom
magnetic moment = 0.00 μB/f.u.

***

The following is a GGA-PBE calculation of BaY2Cd2 after structural relaxation, from Alexandria via LeMat-Bulk.

Cell and atoms, written as extended XYZ:
```
10
Lattice="-2.757 -8.796 1.344 7.514 -3.055 -4.580 1.827 -0.104 3.067" Properties=species:S:1:pos:R:3 pbc="T T T"
Y 5.528 -5.939 -3.495
Y 2.313 -9.590 -1.703
Y -0.771 -5.912 0.258
Y 2.445 -2.261 -1.533
Ba 0.000 0.000 0.000
Ba 2.379 -5.925 -1.618
Cd 5.469 -3.568 -1.300
Cd 5.326 -8.468 -1.381
Cd 1.115 -8.387 1.130
Cd 1.258 -3.487 1.211
```

calculated formation energy = -0.160 eV/atom
DOS(E_F) = 1.407 states/eV per atom
magnetic moment = 0.00 μB/f.u.

***

The following is a GGA-PBE calculation of BPRhCS after structural relaxation, from Alexandria via LeMat-Bulk.

Cell and atoms, written as extended XYZ:
```
5
Lattice="-0.068 2.673 -2.440 0.186 -3.457 -1.668 -5.758 -0.440 0.963" Properties=species:S:1:pos:R:3 pbc="T T T"
P -4.236 -2.222 -0.677
S -1.582 0.251 -1.976
B -2.845 0.391 -0.645
Rh -4.910 -0.036 -0.949
C -2.526 -2.599 -0.900
```

E_form (uncorrected) = 107 meV/atom
DOS(E_F) = 0.421 states/eV per atom
magnetic moment = 0.00 μB/f.u.

***

The following is a GGA-PBE calculation of Na2ZnInSi after structural relaxation, from Alexandria via LeMat-Bulk.

Cell and atoms, written as extended XYZ:
```
5
Lattice="5.746 0.000 0.000 0.000 4.917 0.000 0.000 0.000 5.746" Properties=species:S:1:pos:R:3 pbc="T T T"
Na 0.000 0.000 2.873
Na 2.873 0.000 0.000
Zn 0.000 2.458 0.000
Si 2.873 2.458 2.873
In 0.000 0.000 0.000
```

E_form (uncorrected) = 707 meV/atom
DOS(E_F) = 0.291 states/eV per atom
magnetic moment = 0.90 μB/f.u.

***

The following is a GGA-PBE calculation of KRb2UO4 after structural relaxation, from Alexandria via LeMat-Bulk.

Cell and atoms, written as extended XYZ:
```
8
Lattice="-3.152 1.754 -0.413 -3.838 -4.040 -3.837 -5.633 -5.812 2.343" Properties=species:S:1:pos:R:3 pbc="T T T"
K -6.312 -4.049 -0.954
Rb -9.416 -5.977 -1.408
Rb -3.207 -2.121 -0.499
U 0.000 0.000 0.000
O -4.682 -4.353 1.279
O -7.455 -5.657 0.949
O -7.941 -3.745 -3.186
O -5.168 -2.442 -2.856
```

E_form (uncorrected) = -2306 meV/atom
DOS(E_F) = 0.183 states/eV per atom
magnetic moment = 1.00 μB/f.u.

***

The following is a GGA-PBE calculation of Zn2CuAu after structural relaxation, from Alexandria via LeMat-Bulk.

Cell and atoms, written as extended XYZ:
```
4
Lattice="3.114 0.000 0.000 0.000 3.114 0.000 0.000 0.000 6.106" Properties=species:S:1:pos:R:3 pbc="T T T"
Zn 0.000 0.000 5.996
Zn 1.557 1.557 1.461
Au 0.000 0.000 3.080
Cu 1.557 1.557 4.728
```

calculated formation energy = -0.097 eV/atom
DOS(E_F) = 0.370 states/eV per atom
magnetic moment = 0.00 μB/f.u.